DFT (SCAN) results for a crystal of Li6Nd6SbTe3O24 relaxed with PBEsol.

Cell: 10.871 10.871 10.897 Å, 109.50 109.45 109.36°
Fractional coordinates of all 80 atoms:
O1 0.379 0.799 0.473
Nd1 0.750 0.125 0.874
Nd2 0.873 0.250 0.625
Nd3 0.250 0.875 0.126
Li1 0.376 0.126 0.750
O2 0.594 0.672 0.478
Sb1 0.500 0.500 0.000
Te1 0.500 0.500 0.500
O3 0.471 0.879 0.298
Te2 0.500 0.000 0.000
O4 0.116 0.092 0.922
O5 0.702 0.028 0.621
O6 0.829 0.305 0.422
O7 0.406 0.328 0.522
O8 0.976 0.306 0.883
O9 0.093 0.117 0.422
Li2 0.752 0.876 0.626
Li3 0.248 0.124 0.374
Te3 0.000 0.500 0.000
O10 0.194 0.078 0.171
O11 0.581 0.673 0.202
Li4 0.750 0.375 0.126
O12 0.907 0.524 0.329
Nd4 0.375 0.252 0.125
O13 0.922 0.806 0.329
O14 0.171 0.695 0.578
O15 0.977 0.172 0.094
O16 0.383 0.078 0.907
O17 0.617 0.922 0.093
O18 0.593 0.419 0.121
O19 0.093 0.476 0.671
O20 0.419 0.327 0.798
O21 0.407 0.581 0.879
Nd5 0.749 0.624 0.374
O22 0.078 0.384 0.406
O23 0.884 0.908 0.078
O24 0.671 0.577 0.693
O25 0.884 0.477 0.807
Nd6 0.127 0.750 0.375
O26 0.023 0.828 0.906
Li5 0.624 0.874 0.250
O27 0.193 0.616 0.022
O28 0.305 0.830 0.922
O29 0.326 0.406 0.027
O30 0.806 0.922 0.829
Li6 0.626 0.251 0.376
Nd7 0.251 0.376 0.626
O31 0.116 0.523 0.193
Li7 0.875 0.750 0.124
Nd8 0.875 0.125 0.250
Te4 0.000 0.500 0.500
O32 0.674 0.594 0.973
Li8 0.875 0.625 0.750
O33 0.329 0.423 0.307
Li9 0.374 0.749 0.624
O34 0.807 0.384 0.978
Nd9 0.125 0.875 0.750
O35 0.024 0.694 0.117
Te5 0.000 0.000 0.000
O36 0.477 0.094 0.171
Sb2 0.500 0.000 0.500
Li10 0.125 0.250 0.876
O37 0.422 0.593 0.617
Li11 0.125 0.375 0.250
Li12 0.250 0.625 0.874
O38 0.907 0.883 0.578
O39 0.171 0.976 0.593
O40 0.922 0.616 0.594
O41 0.078 0.194 0.671
O42 0.578 0.407 0.383
O43 0.695 0.170 0.078
O44 0.529 0.121 0.702
O45 0.523 0.906 0.829
O46 0.621 0.201 0.527
O47 0.298 0.972 0.379
Nd10 0.625 0.748 0.875
Nd11 0.376 0.626 0.250
Nd12 0.624 0.374 0.750
Te6 0.000 0.000 0.500
O48 0.829 0.024 0.407

Results
The calculation puts the total magnetization at 2.25 μB/cell. The density of states at the Fermi level is 0.52 states/eV per atom. The formation energy (no corrections) is -2527 meV/atom.